The following is a DFT calculation (GGA-PBE) of LaYMo2C3 after structural relaxation.

Output
DFT total energy   -8.9063 eV per atom

Unit cell a=11.4208 b=3.4619 c=5.8638 alpha=90.00 beta=105.91 gamma=90.00
Space group Cm (No. 8)
Inequivalent atoms, fractional coordinates:
La: 0.0000 0.0000 0.0000 x2
Y: 0.2792 0.5000 0.3507 x2
Mo: 0.0451 0.5000 0.5561 x2
Mo: 0.2389 0.0000 0.7854 x2
C: 0.1194 0.0000 0.4410 x2
C: 0.1713 0.5000 0.9081 x2
C: 0.3892 0.0000 0.6592 x2